1.
# Gd2YTl3AgPt2 PBE relaxed
# VASP energy = -4.8667 eV/atom
data_Gd2YTl3AgPt2
_chemical_formula_sum 'Gd4 Y2 Tl6 Ag2 Pt4'
_space_group_name_H-M_alt 'A m m 2'
_space_group_IT_number 38
_space_group_name_Hall 'A 2 -2'
_cell_length_a 3.7980
_cell_length_b 13.7780
_cell_length_c 7.9530
_cell_angle_alpha 90.00
_cell_angle_beta 90.00
_cell_angle_gamma 90.00
loop_
_atom_site_label
_atom_site_type_symbol
_atom_site_fract_x
_atom_site_fract_y
_atom_site_fract_z
Gd1 Gd 0.0000 0.2052 0.0000
Y1 Y 0.0000 0.0000 0.3847
Tl1 Tl 0.5000 0.0000 0.0650
Tl2 Tl 0.5000 0.1346 0.6596
Ag1 Ag 0.0000 0.0000 0.7946
Pt1 Pt 0.5000 0.1666 0.2946

2.
# LiHoFeTe3 PBE relaxed
# Energy above the most stable polymorph in this dataset = 2 meV/atom
# VASP energy = -4.8140 eV/atom
data_LiHoFeTe3
_chemical_formula_sum 'Li2 Ho2 Fe2 Te6'
_space_group_name_H-M_alt 'P 1 21/m 1'
_space_group_IT_number 11
_space_group_name_Hall '-P 2yb'
_cell_length_a 8.4297
_cell_length_b 4.1027
_cell_length_c 9.8148
_cell_angle_alpha 90.00
_cell_angle_beta 102.24
_cell_angle_gamma 90.00
loop_
_atom_site_label
_atom_site_type_symbol
_atom_site_fract_x
_atom_site_fract_y
_atom_site_fract_z
Li1 Li 0.1924 0.2500 0.2497
Ho1 Ho 0.3294 0.7500 0.8451
Fe1 Fe 0.0652 0.2500 0.5766
Te1 Te 0.0644 0.2500 0.8444
Te2 Te 0.2500 0.7500 0.5217
Te3 Te 0.4090 0.7500 0.1652

3.
# K2TeMoN4 PBE relaxed
# VASP energy = -6.1263 eV/atom
data_K2TeMoN4
_chemical_formula_sum 'K4 Te2 Mo2 N8'
_space_group_name_H-M_alt 'I -4'
_space_group_IT_number 82
_space_group_name_Hall 'I -4'
_cell_length_a 6.0345
_cell_length_b 6.0345
_cell_length_c 8.1933
_cell_angle_alpha 90.00
_cell_angle_beta 90.00
_cell_angle_gamma 90.00
loop_
_atom_site_label
_atom_site_type_symbol
_atom_site_fract_x
_atom_site_fract_y
_atom_site_fract_z
K1 K 0.0000 0.0000 0.0000
K2 K 0.0000 0.5000 0.2500
Te1 Te 0.0000 0.5000 0.7500
Mo1 Mo 0.0000 0.0000 0.5000
N1 N 0.1392 0.2200 0.6274

4.
# PtS2 PBE relaxed
# VASP energy = -4.5877 eV/atom
data_PtS2
_chemical_formula_sum 'Pt4 S8'
_space_group_name_H-M_alt 'P -6 m 2'
_space_group_IT_number 187
_space_group_name_Hall 'P -6 2'
_cell_length_a 3.5104
_cell_length_b 3.5104
_cell_length_c 19.7986
_cell_angle_alpha 90.00
_cell_angle_beta 90.00
_cell_angle_gamma 120.00
loop_
_atom_site_label
_atom_site_type_symbol
_atom_site_fract_x
_atom_site_fract_y
_atom_site_fract_z
Pt1 Pt 0.0000 0.0000 0.0000
Pt2 Pt 0.0000 0.0000 0.2445
Pt3 Pt 0.6667 0.3333 0.5000
S1 S 0.0000 0.0000 0.4296
S2 S 0.3333 0.6667 0.1741
S3 S 0.3333 0.6667 0.3167
S4 S 0.6667 0.3333 0.0715

5.
# Dy2PbAu PBE relaxed
# VASP energy = -3.9674 eV/atom
data_Dy2PbAu
_chemical_formula_sum 'Dy4 Pb2 Au2'
_space_group_name_H-M_alt 'A m m 2'
_space_group_IT_number 38
_space_group_name_Hall 'A 2 -2'
_cell_length_a 3.3059
_cell_length_b 5.9410
_cell_length_c 12.4887
_cell_angle_alpha 90.00
_cell_angle_beta 90.00
_cell_angle_gamma 90.00
loop_
_atom_site_label
_atom_site_type_symbol
_atom_site_fract_x
_atom_site_fract_y
_atom_site_fract_z
Dy1 Dy 0.0000 0.0000 0.0000
Dy2 Dy 0.0000 0.0000 0.2839
Pb1 Pb 0.0000 0.0000 0.5485
Au1 Au 0.0000 0.0000 0.7757

6.
# Tb3SbSe2 PBE relaxed
# VASP energy = -5.7285 eV/atom
data_Tb3SbSe2
_chemical_formula_sum 'Tb3 Sb1 Se2'
_space_group_name_H-M_alt 'P -3 m 1'
_space_group_IT_number 164
_space_group_name_Hall '-P 3 2"'
_cell_length_a 4.2015
_cell_length_b 4.2015
_cell_length_c 10.2244
_cell_angle_alpha 90.00
_cell_angle_beta 90.00
_cell_angle_gamma 120.00
loop_
_atom_site_label
_atom_site_type_symbol
_atom_site_fract_x
_atom_site_fract_y
_atom_site_fract_z
Tb1 Tb 0.0000 0.0000 0.0000
Tb2 Tb 0.3333 0.6667 0.3187
Sb1 Sb 0.0000 0.0000 0.5000
Se1 Se 0.3333 0.6667 0.8411

7.
# ScNiBPd PBE relaxed
# Energy above the most stable polymorph in this dataset = 110 meV/atom
# VASP energy = -5.9154 eV/atom
data_ScNiBPd
_chemical_formula_sum 'Sc4 Ni4 B4 Pd4'
_space_group_name_H-M_alt 'F -4 3 m'
_space_group_IT_number 216
_space_group_name_Hall 'F -4 2 3'
_cell_length_a 5.9718
_cell_length_b 5.9718
_cell_length_c 5.9718
_cell_angle_alpha 90.00
_cell_angle_beta 90.00
_cell_angle_gamma 90.00
loop_
_atom_site_label
_atom_site_type_symbol
_atom_site_fract_x
_atom_site_fract_y
_atom_site_fract_z
Sc1 Sc 0.0000 0.0000 0.0000
Ni1 Ni 0.0000 0.0000 0.5000
B1 B 0.2500 0.2500 0.2500
Pd1 Pd 0.2500 0.2500 0.7500

8.
# LiReNiBi PBE relaxed
# VASP energy = -5.3201 eV/atom
data_LiReNiBi
_chemical_formula_sum 'Li4 Re4 Ni4 Bi4'
_space_group_name_H-M_alt 'F -4 3 m'
_space_group_IT_number 216
_space_group_name_Hall 'F -4 2 3'
_cell_length_a 6.3493
_cell_length_b 6.3493
_cell_length_c 6.3493
_cell_angle_alpha 90.00
_cell_angle_beta 90.00
_cell_angle_gamma 90.00
loop_
_atom_site_label
_atom_site_type_symbol
_atom_site_fract_x
_atom_site_fract_y
_atom_site_fract_z
Li1 Li 0.0000 0.0000 0.0000
Re1 Re 0.2500 0.2500 0.7500
Ni1 Ni 0.0000 0.0000 0.5000
Bi1 Bi 0.2500 0.2500 0.2500

9.
# ErI3 PBE relaxed
# VASP energy = -3.6283 eV/atom
data_ErI3
_chemical_formula_sum 'Er4 I12'
_space_group_name_H-M_alt 'P n m a'
_space_group_IT_number 62
_space_group_name_Hall '-P 2ac 2n'
_cell_length_a 14.4319
_cell_length_b 3.9663
_cell_length_c 11.6624
_cell_angle_alpha 90.00
_cell_angle_beta 90.00
_cell_angle_gamma 90.00
loop_
_atom_site_label
_atom_site_type_symbol
_atom_site_fract_x
_atom_site_fract_y
_atom_site_fract_z
Er1 Er 0.2128 0.2500 0.0397
I1 I 0.1228 0.7500 0.8764
I2 I 0.1285 0.2500 0.5352
I3 I 0.1371 0.7500 0.2141

10.
# TaTlFePd PBE relaxed
# Energy above the most stable polymorph in this dataset = 0 meV/atom
# VASP energy = -6.7512 eV/atom
data_TaTlFePd
_chemical_formula_sum 'Ta4 Tl4 Fe4 Pd4'
_space_group_name_H-M_alt 'F -4 3 m'
_space_group_IT_number 216
_space_group_name_Hall 'F -4 2 3'
_cell_length_a 6.4287
_cell_length_b 6.4287
_cell_length_c 6.4287
_cell_angle_alpha 90.00
_cell_angle_beta 90.00
_cell_angle_gamma 90.00
loop_
_atom_site_label
_atom_site_type_symbol
_atom_site_fract_x
_atom_site_fract_y
_atom_site_fract_z
Ta1 Ta 0.0000 0.0000 0.0000
Tl1 Tl 0.0000 0.0000 0.5000
Fe1 Fe 0.2500 0.2500 0.7500
Pd1 Pd 0.2500 0.2500 0.2500

11.
# ZnGeO3 PBE relaxed
# VASP energy = -5.6056 eV/atom
data_ZnGeO3
_chemical_formula_sum 'Zn6 Ge6 O18'
_space_group_name_H-M_alt 'R -3 c'
_space_group_IT_number 167
_space_group_name_Hall '-R 3 2"c'
_cell_length_a 5.0798
_cell_length_b 5.0798
_cell_length_c 12.9492
_cell_angle_alpha 90.00
_cell_angle_beta 90.00
_cell_angle_gamma 120.00
loop_
_atom_site_label
_atom_site_type_symbol
_atom_site_fract_x
_atom_site_fract_y
_atom_site_fract_z
Zn1 Zn 0.0000 0.0000 0.2500
Ge1 Ge 0.0000 0.0000 0.0000
O1 O 0.0000 0.3828 0.2500

12.
# Pm2PbAu2 PBE relaxed
# VASP energy = -4.7149 eV/atom
data_Pm2PbAu2
_chemical_formula_sum 'Pm4 Pb2 Au4'
_space_group_name_H-M_alt 'P 4/m b m'
_space_group_IT_number 127
_space_group_name_Hall '-P 4 2ab'
_cell_length_a 8.1686
_cell_length_b 8.1686
_cell_length_c 3.8756
_cell_angle_alpha 90.00
_cell_angle_beta 90.00
_cell_angle_gamma 90.00
loop_
_atom_site_label
_atom_site_type_symbol
_atom_site_fract_x
_atom_site_fract_y
_atom_site_fract_z
Pm1 Pm 0.1708 0.3292 0.0000
Pb1 Pb 0.0000 0.0000 0.5000
Au1 Au 0.1250 0.6250 0.5000